Material: Ge3Mo4W2N3
Method: DFT, PBE-GGA
State: relaxed

Lattice parameters (Å, degrees): 9.1714 5.4144 13.3738 90.00 106.98 90.00
Space group C2/c (No. 15)
Unique sites:
Ge: 0.0000 0.0956 0.2500 x4
Ge: 0.1863 0.3749 0.7459 x8
Mo: 0.1138 0.0633 0.5860 x8
Mo: 0.2257 0.0742 0.9127 x8
W: 0.0644 0.4735 0.3899 x8
N: 0.0520 0.2912 0.0195 x8
N: 0.2500 0.2500 0.5000 x4

## Properties
Calculated volume, Å³/cell: 635
Total energy, eV/cell: -431.93
Magnetization, μB per cell: 0.00

=====

Material: Y4Ge3Mo2N3
Method: DFT, PBE-GGA
State: relaxed

Lattice parameters (Å, degrees): 10.1777 5.9141 13.6633 90.00 104.00 90.00
Space group C2/c (No. 15)
Unique sites:
Y: 0.1175 0.0837 0.1018 x8
Y: 0.2165 0.0805 0.3985 x8
Ge: 0.0000 0.1622 0.7500 x4
Ge: 0.1299 0.4534 0.2504 x8
Mo: 0.0551 0.4209 0.9236 x8
N: 0.0826 0.2522 0.5000 x8
N: 0.2500 0.2500 0.0000 x4

## Properties
Calculated volume, Å³/cell: 798
Total energy, eV/cell: -387.05
Magnetization, μB per cell: 0.02

=====

Material: Zr4Ge3Mo2N3
Method: DFT, PBE-GGA
State: relaxed

Lattice parameters (Å, degrees): 9.8855 5.6856 13.2487 90.00 104.27 90.00
Space group C2/c (No. 15)
Unique sites:
Zr: 0.1152 0.0910 0.0964 x8
Zr: 0.2208 0.0792 0.4032 x8
Ge: 0.0000 0.1270 0.7500 x4
Ge: 0.1445 0.4406 0.2513 x8
Mo: 0.0505 0.4211 0.9181 x8
N: 0.0879 0.2386 0.5000 x8
N: 0.2500 0.2500 0.0000 x4

## Properties
Calculated volume, Å³/cell: 722
Total energy, eV/cell: -419.36
Magnetization, μB per cell: 0.04